Density functional theory data (GGA+U) for a geometry-optimized VPdCl2O structure.

Summary:
calculated volume	19.590	A^3/atom
density of states at the Fermi level	0.756	states/eV per atom
density	4.1	g cm⁻³
E	-4.217	eV per atom

Cell: 5.0068 3.9072 5.0068 Å, 90.00 90.00 90.00°
Fractional coordinates of all 5 atoms:
Cl: 0.0000 0.0000 0.5000
Cl: 0.5000 0.0000 0.0000
Pd: 0.0000 0.0000 0.0000
O: 0.0000 0.5000 0.0000
V: 0.5000 0.5000 0.5000